(1)
Below is crystalline MgPtO at its relaxed geometry, with properties calculated at the PBE level.

Summary:
D(E_F), states/eV/atom: 0.681
VASP energy, eV/f.u.: -16.281
Formation energy without anion corrections, eV/atom: -1.229

POSCAR file:
```
MgPtO
1.0
3.273 0.000 0.000
0.000 4.091 0.000
-1.233 0.000 6.016
Mg Pt O
2 2 2
Cartesian
0.183 1.023 2.340
1.856 3.068 3.676
0.869 3.068 0.302
1.170 1.023 5.714
0.215 3.068 2.463
1.824 1.023 3.553
```

=====

(2)
Below is crystalline MgPtO at its relaxed geometry, with properties calculated at the PBE level.

Summary:
D(E_F), states/eV/atom: 0.425
VASP energy, eV/f.u.: -16.506
Formation energy without anion corrections, eV/atom: -1.304

POSCAR file:
```
MgPtO
1.0
4.993 0.000 0.000
0.000 2.823 0.000
0.000 0.000 11.384
Mg Pt O
4 4 4
Cartesian
1.214 0.706 2.132
1.283 2.117 7.824
3.711 0.706 3.560
3.779 2.117 9.252
0.839 2.117 4.997
1.658 0.706 10.689
3.335 2.117 0.695
4.154 0.706 6.387
0.273 0.706 9.104
2.224 2.117 3.412
2.769 0.706 7.972
4.720 2.117 2.280
```

=====

(3)
Below is crystalline MgPtO at its relaxed geometry, with properties calculated at the PBE level.

Summary:
D(E_F), states/eV/atom: 0.343
VASP energy, eV/f.u.: -16.239
Formation energy without anion corrections, eV/atom: -1.215

POSCAR file:
```
MgPtO
1.0
2.851 0.000 0.000
0.000 2.851 0.000
0.000 0.000 4.773
Mg Pt O
1 1 1
Cartesian
0.000 0.000 0.000
1.425 1.425 2.413
1.425 1.425 0.040
```

=====

(4)
Below is crystalline MgPtO3 at its relaxed geometry, with properties calculated at the PBE level.

Summary:
D(E_F), states/eV/atom: 0.948
VASP energy, eV/f.u.: -22.966
Formation energy without anion corrections, eV/atom: -0.091

POSCAR file:
```
MgPtO3
1.0
3.769 0.000 0.000
0.000 3.769 0.000
0.000 0.000 3.769
Mg Pt O
1 1 3
Cartesian
0.000 0.000 0.000
1.884 1.884 1.884
0.000 0.000 1.884
0.000 1.884 0.000
1.884 0.000 0.000
```

=====

(5)
Below is crystalline MgPtO at its relaxed geometry, with properties calculated at the PBE level.

Summary:
D(E_F), states/eV/atom: 0.186
VASP energy, eV/f.u.: -16.755
Formation energy without anion corrections, eV/atom: -1.387

POSCAR file:
```
MgPtO
1.0
-1.723 2.111 5.385
1.723 -2.111 5.385
1.723 2.111 -5.385
Mg Pt O
2 2 2
Cartesian
0.000 0.000 2.169
0.000 0.000 8.601
1.723 0.000 0.000
0.000 2.111 0.000
1.723 0.000 3.272
0.000 2.111 2.113
```

=====

(6)
Below is crystalline MgPt2O at its relaxed geometry, with properties calculated at the PBE level.

Summary:
D(E_F), states/eV/atom: 0.300
VASP energy, eV/f.u.: -19.045
Formation energy without anion corrections, eV/atom: -0.103
Energy above the lowest structure with this stoichiometry, eV/atom: 0.000

POSCAR file:
```
MgPt2O
1.0
-2.477 2.477 6.232
2.477 -2.477 6.232
2.477 2.477 -6.232
Mg Pt O
2 4 2
Cartesian
0.000 0.000 0.000
0.000 2.477 3.116
1.239 -0.451 4.674
2.027 1.239 1.558
1.239 2.928 -1.558
0.451 1.239 7.790
2.477 0.000 3.116
0.000 0.000 6.232
```